No. 1
First-principles (PBE) data for a relaxed CaZn2Ge2 crystal, as listed in Alexandria.

Structure (POSCAR):
```
CaZn2Ge2
1.0
4.290 0.000 0.000
0.000 4.290 0.000
0.000 0.000 10.747
Ca Zn Ge
2 4 4
direct
0.250 0.250 0.250 Ca
0.750 0.750 0.750 Ca
0.250 0.250 0.636 Zn
0.250 0.750 0.000 Zn
0.750 0.250 0.000 Zn
0.750 0.750 0.364 Zn
0.250 0.250 0.864 Ge
0.250 0.750 0.500 Ge
0.750 0.250 0.500 Ge
0.750 0.750 0.136 Ge
```

SG   P4/nmm, No. 129
Spin magnetization   0.0 μB/f.u.
E_tot   -3.087 eV per atom
E_form   -0.330 eV/atom
Calculated volume   19.78 A^3/atom

***

No. 2
First-principles (PBE) data for a relaxed Ca3Zn7Ge4 crystal, as listed in Alexandria.

Structure (POSCAR):
```
Ca3Zn7Ge4
1.0
7.919 -2.158 0.000
7.919 2.158 0.000
-5.602 0.000 7.751
Ca Zn Ge
3 7 4
direct
0.000 0.000 0.000 Ca
0.298 0.298 0.296 Ca
0.702 0.702 0.704 Ca
0.000 0.000 0.500 Zn
0.148 0.148 0.429 Zn
0.343 0.343 0.985 Zn
0.494 0.494 0.675 Zn
0.506 0.506 0.325 Zn
0.657 0.657 0.015 Zn
0.852 0.852 0.571 Zn
0.139 0.139 0.855 Ge
0.346 0.346 0.720 Ge
0.654 0.654 0.280 Ge
0.861 0.861 0.145 Ge
```

SG   C2/m, No. 12
Spin magnetization   0.0 μB/f.u.
E_tot   -2.715 eV per atom
E_form   -0.330 eV/atom
Calculated volume   18.92 A^3/atom

***

No. 3
First-principles (PBE) data for a relaxed Ca3Zn2Ge3 crystal, as listed in Alexandria.

Structure (POSCAR):
```
Ca3Zn2Ge3
1.0
2.248 -5.352 0.000
2.248 5.352 0.000
0.000 0.000 14.630
Ca Zn Ge
6 4 6
direct
0.090 0.910 0.611 Ca
0.090 0.910 0.889 Ca
0.369 0.631 0.750 Ca
0.631 0.369 0.250 Ca
0.910 0.090 0.111 Ca
0.910 0.090 0.389 Ca
0.211 0.789 0.095 Zn
0.211 0.789 0.405 Zn
0.789 0.211 0.595 Zn
0.789 0.211 0.905 Zn
0.332 0.668 0.250 Ge
0.388 0.612 0.537 Ge
0.388 0.612 0.963 Ge
0.612 0.388 0.037 Ge
0.612 0.388 0.463 Ge
0.668 0.332 0.750 Ge
```

SG   Cmcm, No. 63
Spin magnetization   0.0 μB/f.u.
E_tot   -3.335 eV per atom
E_form   -0.534 eV/atom
Calculated volume   22.00 A^3/atom

***

No. 4
First-principles (PBE) data for a relaxed Ca4Zn5Ge6 crystal, as listed in Alexandria.

Structure (POSCAR):
```
Ca4Zn5Ge6
1.0
2.152 -9.452 0.000
2.152 9.452 0.000
0.000 0.000 15.841
Ca Zn Ge
8 10 12
direct
0.020 0.980 0.500 Ca
0.031 0.969 0.764 Ca
0.172 0.828 0.307 Ca
0.177 0.823 0.947 Ca
0.823 0.177 0.447 Ca
0.828 0.172 0.807 Ca
0.969 0.031 0.264 Ca
0.980 0.020 0.000 Ca
0.147 0.853 0.628 Zn
0.298 0.702 0.626 Zn
0.348 0.652 0.270 Zn
0.353 0.647 0.986 Zn
0.430 0.570 0.690 Zn
0.570 0.430 0.190 Zn
0.647 0.353 0.486 Zn
0.652 0.348 0.770 Zn
0.702 0.298 0.126 Zn
0.853 0.147 0.128 Zn
0.112 0.888 0.121 Ge
0.218 0.782 0.493 Ge
0.221 0.779 0.762 Ge
0.432 0.568 0.400 Ge
0.435 0.565 0.132 Ge
0.441 0.559 0.859 Ge
0.559 0.441 0.359 Ge
0.565 0.435 0.632 Ge
0.568 0.432 0.900 Ge
0.779 0.221 0.262 Ge
0.782 0.218 0.993 Ge
0.888 0.112 0.621 Ge
```

SG   Cmc2_1, No. 36
Spin magnetization   0.0 μB/f.u.
E_tot   -3.173 eV per atom
E_form   -0.367 eV/atom
Calculated volume   21.48 A^3/atom